[1]
First-principles (PBE) data for TbSmCu2Pb after structural relaxation, as listed in OQMD via LeMat-Bulk.

a = 3.6822 Å, b = 4.3647 Å, c = 14.0381 Å
α = 90.00°, β = 90.00°, γ = 90.00°
Closest atoms and distances in Å follow each position.
Space group Amm2 (No. 38)
One atom of each set of equivalent atoms:
Tb: 0.0000 0.0000 0.0000 [2 per cell]  6 Cu 2.90-3.01
Sm: 0.0000 0.0000 0.7311 [2 per cell]  6 Cu 2.94-3.03
Cu: 0.5000 0.0000 0.1594 [2 per cell]  2 Cu 2.53
Cu: 0.5000 0.0000 0.5678 [2 per cell]  2 Cu 2.53, 1 Pb 2.83
Pb: 0.5000 0.0000 0.3665 [2 per cell]  2 Cu 2.83-2.91

- crystal system = orthorhombic
- volume (Å³/cell) = 225.6
- VASP energy (eV per cell) = -44.694


[2]
First-principles (PBE) data for Tb2SmCu4Pb4 after structural relaxation, as listed in OQMD via LeMat-Bulk.

a = 4.5704 Å, b = 7.1188 Å, c = 15.0614 Å
α = 90.00°, β = 90.00°, γ = 90.00°
Closest atoms and distances in Å follow each position.
Space group Immm (No. 71)
One atom of each set of equivalent atoms:
Tb: 0.0000 0.0000 0.1318 [4 per cell]  6 Pb 3.23-3.36, 6 Cu 3.24-3.27
Sm: 0.0000 0.5000 0.0000 [2 per cell]  6 Pb 3.10-3.27
Cu: 0.0000 0.1872 0.3297 [8 per cell]  1 Cu 2.66, 4 Pb 2.68-2.80
Pb: 0.0000 0.2945 0.5000 [4 per cell]  2 Cu 2.68, 1 Pb 2.93
Pb: 0.0000 0.5000 0.2169 [4 per cell]  6 Cu 2.74-2.80

- crystal system = orthorhombic
- volume (Å³/cell) = 490.0
- VASP energy (eV per cell) = -93.501


[3]
First-principles (PBE) data for SmY2Cu4Pb4 after structural relaxation, as listed in OQMD via LeMat-Bulk.

a = 4.5730 Å, b = 7.1290 Å, c = 15.0661 Å
α = 90.00°, β = 90.00°, γ = 90.00°
Closest atoms and distances in Å follow each position.
Space group Immm (No. 71)
One atom of each set of equivalent atoms:
Sm: 0.0000 0.0000 0.0000 [2 per cell]  6 Pb 3.10-3.28
Y: 0.0000 0.5000 0.1316 [4 per cell]  6 Pb 3.22-3.36, 6 Cu 3.25-3.27
Cu: 0.0000 0.3146 0.3301 [8 per cell]  1 Cu 2.64, 4 Pb 2.68-2.81
Pb: 0.0000 0.0000 0.2180 [4 per cell]  6 Cu 2.74-2.81
Pb: 0.0000 0.2058 0.5000 [4 per cell]  2 Cu 2.68, 1 Pb 2.93

- crystal system = orthorhombic
- volume (Å³/cell) = 491.2
- VASP energy (eV per cell) = -100.903


[4]
First-principles (PBE) data for CuSn2Pb after structural relaxation, as listed in OQMD via LeMat-Bulk.

a = 7.3696 Å, b = 7.3696 Å, c = 7.3696 Å
α = 90.00°, β = 90.00°, γ = 90.00°
Closest atoms and distances in Å follow each position.
Space group F-43m (No. 216)
One atom of each set of equivalent atoms:
Cu: 0.0000 0.0000 0.0000 [4 per cell]  4 Sn 3.19, 4 Pb 3.19
Sn: 0.0000 0.0000 0.5000 [4 per cell]  4 Pb 3.19, 4 Sn 3.19
Sn: 0.2500 0.2500 0.2500 [4 per cell]  4 Sn 3.19, 4 Cu 3.19
Pb: 0.2500 0.2500 0.7500 [4 per cell]  4 Sn 3.19, 4 Cu 3.19

- crystal system = cubic
- volume (Å³/cell) = 400.2
- VASP energy (eV per cell) = -57.374


[5]
First-principles (PBE) data for Cu2SnPb after structural relaxation, as listed in OQMD via LeMat-Bulk.

a = 6.8397 Å, b = 6.8397 Å, c = 6.8397 Å
α = 90.00°, β = 90.00°, γ = 90.00°
Closest atoms and distances in Å follow each position.
Space group Pm-3m (No. 221)
One atom of each set of equivalent atoms:
Cu: 0.2300 0.2300 0.2300 [8 per cell]  4 Sn 2.72-2.89, 3 Pb 3.05
Sn: 0.0000 0.0000 0.0000 [1 per cell]  8 Cu 2.72
Sn: 0.0000 0.0000 0.5000 [3 per cell]  8 Cu 2.89
Pb: 0.0000 0.5000 0.5000 [3 per cell]  8 Cu 3.05
Pb: 0.5000 0.5000 0.5000 [1 per cell]  8 Cu 3.20, 6 Pb 3.42

- crystal system = cubic
- volume (Å³/cell) = 320.0
- VASP energy (eV per cell) = -56.944


[6]
First-principles (PBE) data for Cu2Sn3Pb2 after structural relaxation, as listed in OQMD via LeMat-Bulk.

a = 4.7189 Å, b = 4.7189 Å, c = 26.8357 Å
α = 90.00°, β = 90.00°, γ = 120.00°
Closest atoms and distances in Å follow each position.
Space group R3m (No. 160, hexagonal axes)
One atom of each set of equivalent atoms:
Cu: 0.0000 0.0000 0.0000 [3 per cell]  7 Sn 2.69-2.91
Cu: 0.0000 0.0000 0.4645 [3 per cell]  1 Sn 2.76, 6 Pb 2.87-2.97
Sn: 0.0000 0.0000 0.3617 [3 per cell]  4 Cu 2.76-2.83
Sn: 0.0000 0.0000 0.6287 [3 per cell]  3 Cu 2.91, 6 Sn 3.20-3.25
Sn: 0.0000 0.0000 0.8996 [3 per cell]  1 Cu 2.69
Pb: 0.0000 0.0000 0.1754 [3 per cell]  3 Cu 2.97, 3 Sn 3.13
Pb: 0.0000 0.0000 0.7638 [3 per cell]  3 Cu 2.87

- crystal system = trigonal
- volume (Å³/cell) = 517.5
- VASP energy (eV per cell) = -77.174